[1]
Compound: LaZrAl2Ni4
Source: OQMD via LeMat-Bulk
Functional: PBE
Structure: relaxed

Cell and atoms, written as CIF:
```
data_LaZrAl2Ni4
_space_group_name_H-M_alt 'P 1'
_space_group_IT_number 1
_space_group_name_Hall 'P 1'
_cell_length_a 4.171
_cell_length_b 4.171
_cell_length_c 8.596
_cell_angle_alpha 90.00
_cell_angle_beta 90.00
_cell_angle_gamma 120.00
loop_
_atom_site_label
_atom_site_type_symbol
_atom_site_fract_x
_atom_site_fract_y
_atom_site_fract_z
La1 La 0.000 0.000 0.000
Zr1 Zr 0.667 0.333 0.500
Al1 Al 0.333 0.667 0.279
Al2 Al 0.333 0.667 0.721
Ni1 Ni 0.000 0.000 0.342
Ni2 Ni 0.000 0.000 0.658
Ni3 Ni 0.667 0.333 0.199
Ni4 Ni 0.667 0.333 0.801
```

Computed properties:
Uncorrected energy   -5.95 eV per atom
Density   6.65 g/cm³



[2]
Compound: ErScAlNi2
Source: OQMD via LeMat-Bulk
Functional: PBE
Structure: relaxed

Cell and atoms, written as CIF:
```
data_ErScAlNi2
_space_group_name_H-M_alt 'P 1'
_space_group_IT_number 1
_space_group_name_Hall 'P 1'
_cell_length_a 4.112
_cell_length_b 5.264
_cell_length_c 7.968
_cell_angle_alpha 90.00
_cell_angle_beta 90.00
_cell_angle_gamma 90.00
loop_
_atom_site_label
_atom_site_type_symbol
_atom_site_fract_x
_atom_site_fract_y
_atom_site_fract_z
Er1 Er 0.000 0.000 0.000
Er2 Er 0.500 0.500 0.500
Sc1 Sc 0.000 0.000 0.594
Sc2 Sc 0.500 0.500 0.094
Al1 Al 0.000 0.500 0.798
Al2 Al 0.500 0.000 0.298
Ni1 Ni 0.000 0.268 0.297
Ni2 Ni 0.000 0.732 0.297
Ni3 Ni 0.500 0.232 0.797
Ni4 Ni 0.500 0.768 0.797
```

Computed properties:
Uncorrected energy   -5.73 eV per atom
Density   6.87 g/cm³



[3]
Compound: BaRePO
Source: OQMD via LeMat-Bulk
Functional: PBE
Structure: relaxed

Cell and atoms, written as CIF:
```
data_BaRePO
_space_group_name_H-M_alt 'P 1'
_space_group_IT_number 1
_space_group_name_Hall 'P 1'
_cell_length_a 4.320
_cell_length_b 4.320
_cell_length_c 7.807
_cell_angle_alpha 90.00
_cell_angle_beta 90.00
_cell_angle_gamma 90.00
loop_
_atom_site_label
_atom_site_type_symbol
_atom_site_fract_x
_atom_site_fract_y
_atom_site_fract_z
Ba1 Ba 0.250 0.750 0.000
Ba2 Ba 0.750 0.250 0.000
Re1 Re 0.250 0.250 0.417
Re2 Re 0.750 0.750 0.583
P1 P 0.250 0.250 0.708
P2 P 0.750 0.750 0.292
O1 O 0.250 0.750 0.500
O2 O 0.750 0.250 0.500
```

Computed properties:
Polymorph energy (0 for the lowest one)   1441.6 meV per atom
Uncorrected energy   -5.72 eV per atom
Density   8.45 g/cm³



[4]
Compound: DySnPdPt
Source: OQMD via LeMat-Bulk
Functional: PBE
Structure: relaxed

Cell and atoms, written as CIF:
```
data_DySnPdPt
_space_group_name_H-M_alt 'P 1'
_space_group_IT_number 1
_space_group_name_Hall 'P 1'
_cell_length_a 4.571
_cell_length_b 4.571
_cell_length_c 9.045
_cell_angle_alpha 90.00
_cell_angle_beta 90.00
_cell_angle_gamma 120.00
loop_
_atom_site_label
_atom_site_type_symbol
_atom_site_fract_x
_atom_site_fract_y
_atom_site_fract_z
Dy1 Dy 0.333 0.667 0.254
Dy2 Dy 0.667 0.333 0.746
Sn1 Sn 0.000 0.000 0.000
Sn2 Sn 0.000 0.000 0.500
Pd1 Pd 0.333 0.667 0.916
Pd2 Pd 0.667 0.333 0.084
Pt1 Pt 0.333 0.667 0.592
Pt2 Pt 0.667 0.333 0.408
```

Computed properties:
Polymorph energy (0 for the lowest one)   8.1 meV per atom
Uncorrected energy   -5.92 eV per atom
Density   11.82 g/cm³



[5]
Compound: Pr3AgGeS7
Source: OQMD via LeMat-Bulk
Functional: PBE
Structure: relaxed

Cell and atoms, written as CIF:
```
data_Pr3AgGeS7
_space_group_name_H-M_alt 'P 1'
_space_group_IT_number 1
_space_group_name_Hall 'P 1'
_cell_length_a 10.384
_cell_length_b 10.384
_cell_length_c 5.867
_cell_angle_alpha 90.00
_cell_angle_beta 90.00
_cell_angle_gamma 120.00
loop_
_atom_site_label
_atom_site_type_symbol
_atom_site_fract_x
_atom_site_fract_y
_atom_site_fract_z
Pr1 Pr 0.125 0.359 0.000
Pr2 Pr 0.234 0.875 0.000
Pr3 Pr 0.359 0.234 0.500
Pr4 Pr 0.641 0.766 0.000
Pr5 Pr 0.766 0.125 0.500
Pr6 Pr 0.875 0.641 0.500
Ag1 Ag 0.000 0.000 0.048
Ag2 Ag 0.000 0.000 0.548
Ge1 Ge 0.333 0.667 0.417
Ge2 Ge 0.667 0.333 0.917
S1 S 0.094 0.269 0.517
S2 S 0.108 0.588 0.261
S3 S 0.175 0.906 0.517
S4 S 0.269 0.175 0.017
S5 S 0.333 0.667 0.793
S6 S 0.412 0.520 0.261
S7 S 0.480 0.892 0.261
S8 S 0.520 0.108 0.761
S9 S 0.588 0.480 0.761
S10 S 0.667 0.333 0.293
S11 S 0.731 0.825 0.517
S12 S 0.825 0.094 0.017
S13 S 0.892 0.412 0.761
S14 S 0.906 0.731 0.017
```

Computed properties:
Uncorrected energy   -5.65 eV per atom
Density   5.02 g/cm³



[6]
Compound: Y2ScCo2
Source: OQMD via LeMat-Bulk
Functional: PBE
Structure: relaxed

Cell and atoms, written as CIF:
```
data_Y2ScCo2
_space_group_name_H-M_alt 'P 1'
_space_group_IT_number 1
_space_group_name_Hall 'P 1'
_cell_length_a 4.346
_cell_length_b 4.346
_cell_length_c 11.222
_cell_angle_alpha 90.00
_cell_angle_beta 90.00
_cell_angle_gamma 90.00
loop_
_atom_site_label
_atom_site_type_symbol
_atom_site_fract_x
_atom_site_fract_y
_atom_site_fract_z
Y1 Y 0.000 0.500 0.250
Y2 Y 0.000 0.500 0.750
Y3 Y 0.500 0.000 0.250
Y4 Y 0.500 0.000 0.750
Sc1 Sc 0.000 0.000 0.000
Sc2 Sc 0.500 0.500 0.500
Co1 Co 0.000 0.000 0.404
Co2 Co 0.000 0.000 0.596
Co3 Co 0.500 0.500 0.096
Co4 Co 0.500 0.500 0.904
```

Computed properties:
Uncorrected energy   -6.53 eV per atom
Density   5.34 g/cm³
Energy of formation   0.160 eV/atom



[7]
Compound: TcPd2Pb
Source: OQMD via LeMat-Bulk
Functional: PBE
Structure: relaxed

Cell and atoms, written as CIF:
```
data_TcPd2Pb
_space_group_name_H-M_alt 'P 1'
_space_group_IT_number 1
_space_group_name_Hall 'P 1'
_cell_length_a 6.479
_cell_length_b 6.479
_cell_length_c 6.479
_cell_angle_alpha 90.00
_cell_angle_beta 90.00
_cell_angle_gamma 90.00
loop_
_atom_site_label
_atom_site_type_symbol
_atom_site_fract_x
_atom_site_fract_y
_atom_site_fract_z
Tc1 Tc 0.000 0.000 0.000
Tc2 Tc 0.000 0.500 0.500
Tc3 Tc 0.500 0.000 0.500
Tc4 Tc 0.500 0.500 0.000
Pd1 Pd 0.000 0.000 0.500
Pd2 Pd 0.000 0.500 0.000
Pd3 Pd 0.250 0.250 0.250
Pd4 Pd 0.250 0.750 0.750
Pd5 Pd 0.500 0.000 0.000
Pd6 Pd 0.500 0.500 0.500
Pd7 Pd 0.750 0.250 0.750
Pd8 Pd 0.750 0.750 0.250
Pb1 Pb 0.250 0.250 0.750
Pb2 Pb 0.250 0.750 0.250
Pb3 Pb 0.750 0.250 0.250
Pb4 Pb 0.750 0.750 0.750
```

Computed properties:
Uncorrected energy   -5.89 eV per atom
Density   12.65 g/cm³



[8]
Compound: CsRb2HgCl6
Source: OQMD via LeMat-Bulk
Functional: PBE
Structure: relaxed

Cell and atoms, written as CIF:
```
data_CsRb2HgCl6
_space_group_name_H-M_alt 'P 1'
_space_group_IT_number 1
_space_group_name_Hall 'P 1'
_cell_length_a 8.085
_cell_length_b 8.085
_cell_length_c 8.085
_cell_angle_alpha 60.00
_cell_angle_beta 60.00
_cell_angle_gamma 60.00
loop_
_atom_site_label
_atom_site_type_symbol
_atom_site_fract_x
_atom_site_fract_y
_atom_site_fract_z
Cs1 Cs 0.000 0.000 0.000
Rb1 Rb 0.250 0.250 0.250
Rb2 Rb 0.750 0.750 0.750
Hg1 Hg 0.500 0.500 0.500
Cl1 Cl 0.273 0.273 0.727
Cl2 Cl 0.273 0.727 0.273
Cl3 Cl 0.273 0.727 0.727
Cl4 Cl 0.727 0.273 0.273
Cl5 Cl 0.727 0.273 0.727
Cl6 Cl 0.727 0.727 0.273
```

Computed properties:
Uncorrected energy   -2.64 eV per atom
Density   3.19 g/cm³



[9]
Compound: SrLiCoP2
Source: OQMD via LeMat-Bulk
Functional: PBE
Structure: relaxed

Cell and atoms, written as CIF:
```
data_SrLiCoP2
_space_group_name_H-M_alt 'P 1'
_space_group_IT_number 1
_space_group_name_Hall 'P 1'
_cell_length_a 4.201
_cell_length_b 4.201
_cell_length_c 11.389
_cell_angle_alpha 90.00
_cell_angle_beta 90.00
_cell_angle_gamma 90.00
loop_
_atom_site_label
_atom_site_type_symbol
_atom_site_fract_x
_atom_site_fract_y
_atom_site_fract_z
Sr1 Sr 0.000 0.000 0.000
Sr2 Sr 0.500 0.500 0.500
Li1 Li 0.000 0.500 0.250
Li2 Li 0.500 0.000 0.750
Co1 Co 0.000 0.000 0.500
Co2 Co 0.500 0.500 0.000
P1 P 0.000 0.500 0.655
P2 P 0.000 0.500 0.845
P3 P 0.500 0.000 0.155
P4 P 0.500 0.000 0.345
```

Computed properties:
Uncorrected energy   -4.28 eV per atom
Density   3.56 g/cm³



[10]
Compound: MgZnCoSe3
Source: OQMD via LeMat-Bulk
Functional: PBE
Structure: relaxed

Cell and atoms, written as CIF:
```
data_MgZnCoSe3
_space_group_name_H-M_alt 'P 1'
_space_group_IT_number 1
_space_group_name_Hall 'P 1'
_cell_length_a 6.731
_cell_length_b 6.731
_cell_length_c 9.321
_cell_angle_alpha 90.00
_cell_angle_beta 90.00
_cell_angle_gamma 147.81
loop_
_atom_site_label
_atom_site_type_symbol
_atom_site_fract_x
_atom_site_fract_y
_atom_site_fract_z
Mg1 Mg 0.233 0.767 0.750
Mg2 Mg 0.767 0.233 0.250
Zn1 Zn 0.476 0.524 0.250
Zn2 Zn 0.524 0.476 0.750
Co1 Co 0.000 0.000 0.000
Co2 Co 0.000 0.000 0.500
Se1 Se 0.096 0.904 0.250
Se2 Se 0.359 0.641 0.048
Se3 Se 0.359 0.641 0.452
Se4 Se 0.641 0.359 0.548
Se5 Se 0.641 0.359 0.952
Se6 Se 0.904 0.096 0.750
```

Computed properties:
Polymorph energy (0 for the lowest one)   21.7 meV per atom
Uncorrected energy   -3.75 eV per atom
Density   5.69 g/cm³



[11]
Compound: PmZrPa
Source: OQMD via LeMat-Bulk
Functional: PBE
Structure: relaxed

Cell and atoms, written as CIF:
```
data_PmZrPa
_space_group_name_H-M_alt 'P 1'
_space_group_IT_number 1
_space_group_name_Hall 'P 1'
_cell_length_a 7.185
_cell_length_b 7.185
_cell_length_c 7.185
_cell_angle_alpha 90.00
_cell_angle_beta 90.00
_cell_angle_gamma 90.00
loop_
_atom_site_label
_atom_site_type_symbol
_atom_site_fract_x
_atom_site_fract_y
_atom_site_fract_z
Pm1 Pm 0.000 0.000 0.000
Pm2 Pm 0.000 0.500 0.500
Pm3 Pm 0.500 0.000 0.500
Pm4 Pm 0.500 0.500 0.000
Zr1 Zr 0.000 0.000 0.500
Zr2 Zr 0.000 0.500 0.000
Zr3 Zr 0.500 0.000 0.000
Zr4 Zr 0.500 0.500 0.500
Pa1 Pa 0.250 0.250 0.250
Pa2 Pa 0.250 0.750 0.750
Pa3 Pa 0.750 0.250 0.750
Pa4 Pa 0.750 0.750 0.250
```

Computed properties:
Polymorph energy (0 for the lowest one)   0.0 meV per atom
Uncorrected energy   -6.47 eV per atom
Density   8.37 g/cm³
Energy of formation   1.123 eV/atom



[12]
Compound: BeTlCuIr
Source: OQMD via LeMat-Bulk
Functional: PBE
Structure: relaxed

Cell and atoms, written as CIF:
```
data_BeTlCuIr
_space_group_name_H-M_alt 'P 1'
_space_group_IT_number 1
_space_group_name_Hall 'P 1'
_cell_length_a 6.221
_cell_length_b 6.221
_cell_length_c 6.221
_cell_angle_alpha 90.00
_cell_angle_beta 90.00
_cell_angle_gamma 90.00
loop_
_atom_site_label
_atom_site_type_symbol
_atom_site_fract_x
_atom_site_fract_y
_atom_site_fract_z
Be1 Be 0.000 0.000 0.000
Be2 Be 0.000 0.500 0.500
Be3 Be 0.500 0.000 0.500
Be4 Be 0.500 0.500 0.000
Tl1 Tl 0.000 0.000 0.500
Tl2 Tl 0.000 0.500 0.000
Tl3 Tl 0.500 0.000 0.000
Tl4 Tl 0.500 0.500 0.500
Cu1 Cu 0.250 0.250 0.750
Cu2 Cu 0.250 0.750 0.250
Cu3 Cu 0.750 0.250 0.250
Cu4 Cu 0.750 0.750 0.750
Ir1 Ir 0.250 0.250 0.250
Ir2 Ir 0.250 0.750 0.750
Ir3 Ir 0.750 0.250 0.750
Ir4 Ir 0.750 0.750 0.250
```

Computed properties:
Polymorph energy (0 for the lowest one)   21.4 meV per atom
Uncorrected energy   -4.30 eV per atom
Density   12.94 g/cm³